Run one
Computed, not measured: a geometry-optimized Re2Te structure at the PBE level of DFT.

abc: 3.642 3.642 4.623
angles: 90.00 90.00 90.00
Atoms (fractional coordinates):
Re (0.000, 0.500, 0.000)
Re (0.500, 0.000, 0.000)
Te (0.000, 0.000, 0.500)

## Properties
space-group type: P4/mmm (123)
spin magnetization: 0.000 μB/f.u.

---

Run two
Computed, not measured: a geometry-optimized Re2Te structure at the PBE level of DFT.

abc: 9.960 2.977 8.970
angles: 90.00 101.40 90.00
Atoms (fractional coordinates):
Re (0.031, 0.000, 0.363)
Re (0.180, 0.500, 0.585)
Re (0.320, 0.000, 0.415)
Re (0.469, 0.500, 0.637)
Re (0.531, 0.500, 0.363)
Re (0.680, 0.000, 0.585)
Re (0.820, 0.500, 0.415)
Re (0.969, 0.000, 0.637)
Te (0.158, 0.500, 0.170)
Te (0.342, 0.000, 0.830)
Te (0.658, 0.000, 0.170)
Te (0.842, 0.500, 0.830)

## Properties
space-group type: C2/m (12)
spin magnetization: 0.000 μB/f.u.

---

Which structure wins on stability? run two wins.

---

Run one
Computed, not measured: a geometry-optimized Re2Te structure at the PBE level of DFT.

abc: 6.313 6.313 6.313
angles: 90.00 90.00 90.00
Atoms (fractional coordinates):
Re (0.106, 0.106, 0.106)
Re (0.106, 0.394, 0.606)
Re (0.394, 0.606, 0.106)
Re (0.394, 0.894, 0.606)
Re (0.606, 0.106, 0.394)
Re (0.606, 0.394, 0.894)
Re (0.894, 0.606, 0.394)
Re (0.894, 0.894, 0.894)
Te (0.000, 0.000, 0.500)
Te (0.000, 0.500, 0.000)
Te (0.500, 0.000, 0.000)
Te (0.500, 0.500, 0.500)

## Properties
space-group type: Pa-3 (205)
spin magnetization: 0.000 μB/f.u.

---

Run two
Computed, not measured: a geometry-optimized Re2Te structure at the PBE level of DFT.

abc: 3.024 3.024 6.583
angles: 90.00 90.00 120.00
Atoms (fractional coordinates):
Re (0.333, 0.667, 0.348)
Re (0.667, 0.333, 0.652)
Te (0.000, 0.000, 0.000)

## Properties
space-group type: P-3m1 (164)
spin magnetization: 0.000 μB/f.u.

---

Which structure wins on stability? run two wins.

---

Run one
Computed, not measured: a geometry-optimized Re2Te structure at the PBE level of DFT.

abc: 6.584 6.584 4.217
angles: 90.00 90.00 120.00
Atoms (fractional coordinates):
Re (0.000, 0.256, 0.000)
Re (0.000, 0.601, 0.500)
Re (0.256, 0.000, 0.000)
Re (0.399, 0.399, 0.500)
Re (0.601, 0.000, 0.500)
Re (0.744, 0.744, 0.000)
Te (0.000, 0.000, 0.500)
Te (0.333, 0.667, 0.000)
Te (0.667, 0.333, 0.000)

## Properties
space-group type: P-62m (189)
spin magnetization: 0.000 μB/f.u.

---

Run two
Computed, not measured: a geometry-optimized Re2Te structure at the PBE level of DFT.

abc: 5.391 5.391 5.391
angles: 60.00 60.00 60.00
Atoms (fractional coordinates):
Re (0.000, 0.000, 0.000)
Re (0.000, 0.000, 0.500)
Re (0.000, 0.500, 0.000)
Re (0.500, 0.000, 0.000)
Te (0.375, 0.375, 0.375)
Te (0.625, 0.625, 0.625)

## Properties
space-group type: Fd-3m (227)
spin magnetization: 0.000 μB/f.u.

---

Run three
Computed, not measured: a geometry-optimized Re2Te structure at the PBE level of DFT.

abc: 5.595 4.474 8.219
angles: 90.00 90.00 90.00
Atoms (fractional coordinates):
Re (0.010, 0.250, 0.235)
Re (0.133, 0.750, 0.444)
Re (0.367, 0.250, 0.944)
Re (0.490, 0.750, 0.735)
Re (0.510, 0.250, 0.265)
Re (0.633, 0.750, 0.056)
Re (0.867, 0.250, 0.556)
Re (0.990, 0.750, 0.765)
Te (0.158, 0.750, 0.090)
Te (0.342, 0.250, 0.590)
Te (0.658, 0.750, 0.410)
Te (0.842, 0.250, 0.910)

## Properties
space-group type: Pnma (62)
spin magnetization: 0.000 μB/f.u.

---

Which structure wins on stability? run three wins.

---

Run one
Computed, not measured: a geometry-optimized Re2Te structure at the PBE level of DFT.

abc: 5.204 5.204 8.478
angles: 90.00 90.00 90.00
Atoms (fractional coordinates):
Re (0.181, 0.319, 0.000)
Re (0.181, 0.681, 0.500)
Re (0.319, 0.181, 0.500)
Re (0.319, 0.819, 0.000)
Re (0.681, 0.181, 0.000)
Re (0.681, 0.819, 0.500)
Re (0.819, 0.319, 0.500)
Re (0.819, 0.681, 0.000)
Te (0.000, 0.000, 0.250)
Te (0.000, 0.000, 0.750)
Te (0.500, 0.500, 0.250)
Te (0.500, 0.500, 0.750)

## Properties
space-group type: I4/mcm (140)
spin magnetization: 0.000 μB/f.u.

---

Run two
Computed, not measured: a geometry-optimized Re2Te structure at the PBE level of DFT.

abc: 6.122 6.122 6.122
angles: 90.00 90.00 90.00
Atoms (fractional coordinates):
Re (0.250, 0.250, 0.250)
Re (0.250, 0.250, 0.750)
Re (0.250, 0.750, 0.250)
Re (0.250, 0.750, 0.750)
Re (0.750, 0.250, 0.250)
Re (0.750, 0.250, 0.750)
Re (0.750, 0.750, 0.250)
Re (0.750, 0.750, 0.750)
Te (0.000, 0.000, 0.000)
Te (0.000, 0.500, 0.500)
Te (0.500, 0.000, 0.500)
Te (0.500, 0.500, 0.000)

## Properties
space-group type: Fm-3m (225)
spin magnetization: 0.000 μB/f.u.

---

Which structure wins on stability? run one wins.

---

Run one
Computed, not measured: a geometry-optimized Re2Te structure at the PBE level of DFT.

abc: 4.692 4.692 5.397
angles: 90.00 90.00 120.00
Atoms (fractional coordinates):
Re (0.000, 0.000, 0.000)
Re (0.000, 0.000, 0.500)
Re (0.333, 0.667, 0.250)
Re (0.667, 0.333, 0.750)
Te (0.333, 0.667, 0.750)
Te (0.667, 0.333, 0.250)

## Properties
space-group type: P6_3/mmc (194)
spin magnetization: 0.000 μB/f.u.

---

Run two
Computed, not measured: a geometry-optimized Re2Te structure at the PBE level of DFT.

abc: 9.740 3.119 7.162
angles: 90.00 97.05 90.00
Atoms (fractional coordinates):
Re (0.149, 0.000, 0.028)
Re (0.249, 0.000, 0.671)
Re (0.251, 0.500, 0.329)
Re (0.351, 0.500, 0.972)
Re (0.649, 0.500, 0.028)
Re (0.749, 0.500, 0.671)
Re (0.751, 0.000, 0.329)
Re (0.851, 0.000, 0.972)
Te (0.034, 0.500, 0.726)
Te (0.466, 0.000, 0.274)
Te (0.534, 0.000, 0.726)
Te (0.966, 0.500, 0.274)

## Properties
space-group type: C2/m (12)
spin magnetization: 0.000 μB/f.u.

---

Which structure wins on stability? run two wins.

---

Run one
Computed, not measured: a geometry-optimized Re2Te structure at the PBE level of DFT.

abc: 3.071 4.096 8.139
angles: 90.00 90.00 90.00
Atoms (fractional coordinates):
Re (0.000, 0.000, 0.175)
Re (0.000, 0.000, 0.825)
Re (0.500, 0.500, 0.325)
Re (0.500, 0.500, 0.675)
Te (0.000, 0.000, 0.500)
Te (0.500, 0.500, 0.000)

## Properties
space-group type: Immm (71)
spin magnetization: 0.000 μB/f.u.

---

Run two
Computed, not measured: a geometry-optimized Re2Te structure at the PBE level of DFT.

abc: 3.055 3.055 11.255
angles: 90.00 90.00 90.00
Atoms (fractional coordinates):
Re (0.000, 0.000, 0.182)
Re (0.000, 0.000, 0.818)
Re (0.500, 0.500, 0.318)
Re (0.500, 0.500, 0.682)
Te (0.000, 0.000, 0.500)
Te (0.500, 0.500, 0.000)

## Properties
space-group type: I4/mmm (139)
spin magnetization: 0.000 μB/f.u.

---

Run three
Computed, not measured: a geometry-optimized Re2Te structure at the PBE level of DFT.

abc: 3.016 19.682 4.352
angles: 90.00 90.00 90.00
Atoms (fractional coordinates):
Re (0.000, 0.038, 0.250)
Re (0.000, 0.426, 0.250)
Re (0.000, 0.574, 0.750)
Re (0.000, 0.962, 0.750)
Re (0.500, 0.074, 0.750)
Re (0.500, 0.462, 0.750)
Re (0.500, 0.538, 0.250)
Re (0.500, 0.926, 0.250)
Te (0.000, 0.336, 0.750)
Te (0.000, 0.664, 0.250)
Te (0.500, 0.164, 0.250)
Te (0.500, 0.836, 0.750)

## Properties
space-group type: Cmcm (63)
spin magnetization: 0.000 μB/f.u.

---

Which structure wins on stability? run three wins.

---

Run one
Computed, not measured: a geometry-optimized Re2Te3 structure at the PBE level of DFT.

abc: 8.439 6.278 9.902
angles: 57.80 39.01 83.19
Atoms (fractional coordinates):
Re (0.012, 0.488, 0.177)
Re (0.073, 0.927, 0.238)
Re (0.488, 0.012, 0.323)
Re (0.927, 0.073, 0.762)
Te (0.201, 0.201, 0.299)
Te (0.321, 0.681, 0.317)
Te (0.569, 0.933, 0.569)
Te (0.681, 0.321, 0.681)
Te (0.933, 0.569, 0.929)
Te (0.951, 0.951, 0.049)

## Properties
space-group type: Fdd2 (43)
spin magnetization: 0.000 μB/f.u.

---

Run two
Computed, not measured: a geometry-optimized Re2Te3 structure at the PBE level of DFT.

abc: 7.098 7.098 6.694
angles: 102.43 102.43 122.60
Atoms (fractional coordinates):
Re (0.153, 0.847, 0.500)
Re (0.388, 0.891, 0.872)
Re (0.847, 0.153, 0.000)
Re (0.891, 0.388, 0.372)
Te (0.138, 0.200, 0.377)
Te (0.200, 0.138, 0.877)
Te (0.469, 0.943, 0.312)
Te (0.593, 0.670, 0.844)
Te (0.670, 0.593, 0.344)
Te (0.943, 0.469, 0.812)

## Properties
space-group type: Cc (9)
spin magnetization: 0.000 μB/f.u.

---

Which structure wins on stability? run two wins.

---

Run one
Computed, not measured: a geometry-optimized Ti2ReTe2 structure at the PBE level of DFT.

abc: 3.984 3.984 13.472
angles: 90.00 90.00 90.00
Atoms (fractional coordinates):
Ti (0.000, 0.000, 0.095)
Ti (0.000, 0.000, 0.905)
Ti (0.500, 0.500, 0.405)
Ti (0.500, 0.500, 0.595)
Re (0.000, 0.000, 0.500)
Re (0.500, 0.500, 0.000)
Te (0.000, 0.500, 0.250)
Te (0.000, 0.500, 0.750)
Te (0.500, 0.000, 0.250)
Te (0.500, 0.000, 0.750)

## Properties
space-group type: I4/mmm (139)
spin magnetization: 0.001 μB/f.u.

---

Run two
Computed, not measured: a geometry-optimized Ti2ReTe2 structure at the PBE level of DFT.

abc: 7.217 7.217 3.696
angles: 90.00 90.00 90.00
Atoms (fractional coordinates):
Ti (0.143, 0.357, 0.000)
Ti (0.357, 0.857, 0.000)
Ti (0.643, 0.143, 0.000)
Ti (0.857, 0.643, 0.000)
Re (0.000, 0.000, 0.000)
Re (0.500, 0.500, 0.000)
Te (0.164, 0.664, 0.500)
Te (0.336, 0.164, 0.500)
Te (0.664, 0.836, 0.500)
Te (0.836, 0.336, 0.500)

## Properties
space-group type: P4/mbm (127)
spin magnetization: 0.000 μB/f.u.

---

Which structure wins on stability? run two wins.

---

Run one
Computed, not measured: a geometry-optimized TlRe2Te structure at the PBE level of DFT.

abc: 4.392 4.392 7.874
angles: 90.00 90.00 90.00
Atoms (fractional coordinates):
Tl (0.000, 0.000, 0.000)
Tl (0.500, 0.500, 0.500)
Re (0.000, 0.000, 0.500)
Re (0.000, 0.500, 0.750)
Re (0.500, 0.000, 0.250)
Re (0.500, 0.500, 0.000)
Te (0.000, 0.500, 0.250)
Te (0.500, 0.000, 0.750)

## Properties
space-group type: I-4m2 (119)
spin magnetization: 0.000 μB/f.u.

---

Run two
Computed, not measured: a geometry-optimized TlRe2Te structure at the PBE level of DFT.

abc: 3.043 3.076 18.929
angles: 90.00 90.00 90.00
Atoms (fractional coordinates):
Tl (0.000, 0.000, 0.000)
Tl (0.000, 0.500, 0.500)
Re (0.000, 0.000, 0.803)
Re (0.000, 0.500, 0.303)
Re (0.500, 0.000, 0.377)
Re (0.500, 0.500, 0.877)
Te (0.500, 0.000, 0.677)
Te (0.500, 0.500, 0.177)

## Properties
space-group type: Amm2 (38)
spin magnetization: 0.000 μB/f.u.

---

Which structure wins on stability? run two wins.

---

Run one
Computed, not measured: a geometry-optimized TlRe2Te structure at the PBE level of DFT.

abc: 3.140 3.140 26.162
angles: 90.00 90.00 120.00
Atoms (fractional coordinates):
Tl (0.000, 0.000, 0.000)
Tl (0.333, 0.667, 0.667)
Tl (0.667, 0.333, 0.333)
Re (0.000, 0.000, 0.244)
Re (0.000, 0.000, 0.756)
Re (0.333, 0.667, 0.423)
Re (0.333, 0.667, 0.910)
Re (0.667, 0.333, 0.090)
Re (0.667, 0.333, 0.577)
Te (0.000, 0.000, 0.500)
Te (0.333, 0.667, 0.167)
Te (0.667, 0.333, 0.833)

## Properties
space-group type: R-3m (166)
spin magnetization: 0.000 μB/f.u.

---

Run two
Computed, not measured: a geometry-optimized TlRe2Te structure at the PBE level of DFT.

abc: 7.228 4.175 7.077
angles: 90.00 110.04 90.00
Atoms (fractional coordinates):
Tl (0.000, 0.000, 0.000)
Tl (0.500, 0.500, 0.000)
Re (0.041, 0.500, 0.623)
Re (0.234, 0.000, 0.703)
Re (0.541, 0.000, 0.623)
Re (0.734, 0.500, 0.703)
Te (0.302, 0.500, 0.408)
Te (0.802, 0.000, 0.408)

## Properties
space-group type: Cm (8)
spin magnetization: 0.000 μB/f.u.

---

Which structure wins on stability? run two wins.

---

Run one
Computed, not measured: a geometry-optimized TlRe2Te structure at the PBE level of DFT.

abc: 4.367 4.367 18.969
angles: 90.00 90.00 90.00
Atoms (fractional coordinates):
Tl (0.000, 0.000, 0.000)
Tl (0.000, 0.500, 0.250)
Tl (0.500, 0.000, 0.750)
Tl (0.500, 0.500, 0.500)
Re (0.149, 0.250, 0.625)
Re (0.250, 0.649, 0.875)
Re (0.250, 0.851, 0.375)
Re (0.351, 0.250, 0.125)
Re (0.649, 0.750, 0.125)
Re (0.750, 0.149, 0.375)
Re (0.750, 0.351, 0.875)
Re (0.851, 0.750, 0.625)
Te (0.000, 0.000, 0.500)
Te (0.000, 0.500, 0.750)
Te (0.500, 0.000, 0.250)
Te (0.500, 0.500, 0.000)

## Properties
space-group type: I-42d (122)
spin magnetization: 0.000 μB/f.u.

---

Run two
Computed, not measured: a geometry-optimized TlRe2Te structure at the PBE level of DFT.

abc: 3.271 3.271 6.807
angles: 90.00 90.00 90.00
Atoms (fractional coordinates):
Tl (0.000, 0.000, 0.000)
Re (0.500, 0.500, 0.271)
Re (0.500, 0.500, 0.729)
Te (0.000, 0.000, 0.500)

## Properties
space-group type: P4/mmm (123)
spin magnetization: 0.000 μB/f.u.

---

Run three
Computed, not measured: a geometry-optimized TlRe2Te structure at the PBE level of DFT.

abc: 3.215 4.573 5.261
angles: 90.00 90.00 90.00
Atoms (fractional coordinates):
Tl (0.000, 0.000, 0.000)
Re (0.000, 0.500, 0.500)
Re (0.500, 0.500, 0.000)
Te (0.500, 0.000, 0.500)

## Properties
space-group type: Pmmm (47)
spin magnetization: 0.001 μB/f.u.

---

Which structure wins on stability? run two wins.